# 1
{"formula": "Fe6Tc12N", "functional": "PBE", "state": "relaxed", "dft_energy_ev_per_cell": -178.4, "sg": "No. 148", "lattice_angstrom": [[-3.282, 5.337, 0.714], [-1.502, -1.471, 5.946], [5.042, 3.048, 2.250]], "species": ["N", "Tc", "Tc", "Fe", "Tc", "Fe", "Tc", "Fe", "Tc", "Tc", "Tc", "Tc", "Fe", "Tc", "Tc", "Tc", "Fe", "Tc", "Fe"], "frac_coords": [[0.000, 0.000, 0.000], [0.555, 0.198, 0.478], [0.847, 0.624, 0.965], [0.751, 0.255, 0.111], [0.624, 0.965, 0.847], [0.249, 0.745, 0.889], [0.522, 0.445, 0.802], [0.255, 0.111, 0.751], [0.478, 0.555, 0.198], [0.153, 0.376, 0.035], [0.802, 0.522, 0.445], [0.198, 0.478, 0.555], [0.111, 0.751, 0.255], [0.376, 0.035, 0.153], [0.445, 0.802, 0.522], [0.035, 0.153, 0.376], [0.745, 0.889, 0.249], [0.965, 0.847, 0.624], [0.889, 0.249, 0.745]]}

***

# 2
{"formula": "FeTcN2", "functional": "PBE", "state": "relaxed", "dft_energy_ev_per_cell": -71.1, "sg": "No. 122", "relative_energy_mev_per_atom": 0, "lattice_angstrom": [[4.504, 0.000, 0.000], [0.000, 4.504, 0.000], [2.252, 2.252, 4.222]], "species": ["N", "Fe", "Fe", "Tc", "N", "N", "N", "Tc"], "frac_coords": [[0.599, 0.125, 0.250], [0.500, 0.500, 0.000], [0.250, 0.750, 0.500], [0.750, 0.250, 0.500], [0.875, 0.849, 0.750], [0.151, 0.625, 0.250], [0.375, 0.401, 0.750], [0.000, 0.000, 0.000]]}

***

# 3
{"formula": "Fe2TcN", "functional": "PBE", "state": "relaxed", "dft_energy_ev_per_cell": -34.0, "sg": "No. 166", "lattice_angstrom": [[-2.020, -1.071, -1.606], [-0.684, -2.699, 0.230], [-5.386, 0.273, 4.164]], "species": ["Fe", "N", "Tc", "Fe"], "frac_coords": [[0.116, 0.116, 0.652], [0.500, 0.500, 0.500], [0.000, 0.000, 0.000], [0.884, 0.884, 0.348]]}

***

# 4
{"formula": "FeTcN2", "functional": "PBE", "state": "relaxed", "dft_energy_ev_per_cell": -34.4, "sg": "No. 160", "relative_energy_mev_per_atom": 286, "lattice_angstrom": [[-1.201, 1.032, -2.313], [-0.330, -1.632, -2.256], [-5.508, -1.794, 0.361]], "species": ["N", "Tc", "N", "Fe"], "frac_coords": [[0.077, 0.077, 0.768], [0.669, 0.669, 0.992], [0.237, 0.237, 0.289], [0.517, 0.517, 0.450]]}

***

# 5
{"formula": "FeTc3N", "functional": "PBE", "state": "relaxed", "dft_energy_ev_per_cell": -35.9, "sg": "No. 221", "relative_energy_mev_per_atom": 2204, "lattice_angstrom": [[4.355, 0.000, 0.000], [0.000, 4.355, 0.000], [0.000, 0.000, 4.355]], "species": ["Tc", "Tc", "N", "Tc", "Fe"], "frac_coords": [[0.500, 0.000, 0.000], [0.000, 0.000, 0.500], [0.500, 0.500, 0.500], [0.000, 0.500, 0.000], [0.000, 0.000, 0.000]]}

***

# 6
{"formula": "Fe2TcN", "functional": "PBE", "state": "relaxed", "dft_energy_ev_per_cell": -68.0, "sg": "No. 122", "lattice_angstrom": [[4.784, 0.000, 0.000], [0.000, 4.784, 0.000], [2.392, 2.392, 4.428]], "species": ["N", "Fe", "N", "Fe", "Fe", "Fe", "Tc", "Tc"], "frac_coords": [[0.500, 0.500, 0.000], [0.875, 0.788, 0.750], [0.250, 0.750, 0.500], [0.212, 0.625, 0.250], [0.538, 0.125, 0.250], [0.375, 0.462, 0.750], [0.750, 0.250, 0.500], [0.000, 0.000, 0.000]]}

***

# 7
{"formula": "FeTcN2", "functional": "PBE", "state": "relaxed", "dft_energy_ev_per_cell": -34.4, "sg": "No. 166", "relative_energy_mev_per_atom": 290, "lattice_angstrom": [[1.620, 0.000, 6.293], [-0.810, 1.403, 6.293], [-0.810, -1.403, 6.293]], "species": ["N", "N", "Fe", "Tc"], "frac_coords": [[0.097, 0.097, 0.097], [0.903, 0.903, 0.903], [0.000, 0.000, 0.000], [0.500, 0.500, 0.500]]}

***

# 8
{"formula": "FeTcN", "functional": "PBE", "state": "relaxed", "dft_energy_ev_per_cell": -52.2, "sg": "No. 129", "relative_energy_mev_per_atom": 146, "lattice_angstrom": [[-1.824, 0.363, 2.902], [2.895, -0.266, 1.852], [0.620, 5.058, -0.243]], "species": ["N", "Tc", "Fe", "N", "Fe", "Tc"], "frac_coords": [[0.000, 0.500, 0.304], [0.500, 0.000, 0.099], [0.500, 0.500, 0.500], [0.500, 0.000, 0.696], [0.000, 0.000, 0.500], [0.000, 0.500, 0.901]]}

***

# 9
{"formula": "Fe3TcN", "functional": "PBE", "state": "relaxed", "dft_energy_ev_per_cell": -31.8, "sg": "No. 221", "relative_energy_mev_per_atom": 2308, "lattice_angstrom": [[-0.203, 0.426, -4.414], [-4.056, -1.804, 0.013], [-1.793, 4.034, 0.472]], "species": ["Fe", "Tc", "N", "Fe", "Fe"], "frac_coords": [[0.000, 0.500, 0.000], [0.000, 0.000, 0.000], [0.500, 0.500, 0.500], [0.000, 0.000, 0.500], [0.500, 0.000, 0.000]]}

***

# 10
{"formula": "Fe3TcN", "functional": "PBE", "state": "relaxed", "dft_energy_ev_per_cell": -43.3, "sg": "No. 221", "relative_energy_mev_per_atom": 0, "lattice_angstrom": [[3.790, 0.000, 0.000], [0.000, 3.790, 0.000], [0.000, 0.000, 3.790]], "species": ["N", "Fe", "Fe", "Fe", "Tc"], "frac_coords": [[0.000, 0.000, 0.000], [0.000, 0.500, 0.000], [0.000, 0.000, 0.500], [0.500, 0.000, 0.000], [0.500, 0.500, 0.500]]}

***

# 11
{"formula": "FeTcTe2N", "functional": "PBE", "state": "relaxed", "dft_energy_ev_per_cell": -30.3, "sg": "No. 123", "relative_energy_mev_per_atom": 48, "lattice_angstrom": [[-3.813, -0.417, 3.790], [-0.890, -5.114, -1.458], [2.534, -1.132, 2.424]], "species": ["Fe", "Te", "Te", "Tc", "N"], "frac_coords": [[0.500, 0.500, 0.500], [0.500, 0.000, 0.000], [0.000, 0.500, 0.000], [0.000, 0.000, 0.000], [0.000, 0.000, 0.500]]}

***

# 12
{"formula": "FeTcTe2N", "functional": "PBE", "state": "relaxed", "dft_energy_ev_per_cell": -30.5, "sg": "No. 123", "relative_energy_mev_per_atom": 0, "lattice_angstrom": [[5.161, 0.000, 0.000], [0.000, 5.161, 0.000], [0.000, 0.000, 3.378]], "species": ["Te", "N", "Te", "Tc", "Fe"], "frac_coords": [[0.500, 0.000, 0.000], [0.000, 0.000, 0.500], [0.000, 0.500, 0.000], [0.500, 0.500, 0.500], [0.000, 0.000, 0.000]]}

***

# 13
{"formula": "FeTcTeN2", "functional": "PBE", "state": "relaxed", "dft_energy_ev_per_cell": -32.2, "sg": "No. 123", "relative_energy_mev_per_atom": 485, "lattice_angstrom": [[-1.720, 1.655, 2.776], [1.275, -2.542, 2.306], [4.786, 3.305, 0.996]], "species": ["N", "N", "Tc", "Fe", "Te"], "frac_coords": [[0.000, 0.500, 0.000], [0.500, 0.000, 0.000], [0.500, 0.500, 0.500], [0.000, 0.000, 0.000], [0.000, 0.000, 0.500]]}

***

# 14
{"formula": "FeTcTeN2", "functional": "PBE", "state": "relaxed", "dft_energy_ev_per_cell": -34.6, "sg": "No. 123", "relative_energy_mev_per_atom": 0, "lattice_angstrom": [[3.831, 0.000, 0.000], [0.000, 3.831, 0.000], [0.000, 0.000, 5.766]], "species": ["N", "N", "Fe", "Te", "Tc"], "frac_coords": [[0.000, 0.500, 0.000], [0.500, 0.000, 0.000], [0.500, 0.500, 0.500], [0.000, 0.000, 0.500], [0.000, 0.000, 0.000]]}

***

# 15
{"formula": "ZnFe2TcN", "functional": "PBE", "state": "relaxed", "dft_energy_ev_per_cell": -37.3, "sg": "No. 123", "lattice_angstrom": [[-1.277, 2.786, 2.287], [-3.554, -0.568, -1.293], [-0.632, -2.683, 2.916]], "species": ["Zn", "Tc", "N", "Fe", "Fe"], "frac_coords": [[0.500, 0.500, 0.500], [0.000, 0.000, 0.500], [0.000, 0.000, 0.000], [0.000, 0.500, 0.000], [0.500, 0.000, 0.000]]}

***

# 16
{"formula": "FeTe2N", "functional": "PBE", "state": "relaxed", "dft_energy_ev_per_cell": -20.4, "sg": "No. 166", "lattice_angstrom": [[2.229, 0.000, 6.374], [-1.115, 1.930, 6.374], [-1.115, -1.930, 6.374]], "species": ["Te", "Fe", "N", "Te"], "frac_coords": [[0.899, 0.899, 0.899], [0.500, 0.500, 0.500], [0.000, 0.000, 0.000], [0.101, 0.101, 0.101]]}

***

# 17
{"formula": "Fe2TeN", "functional": "PBE", "state": "relaxed", "dft_energy_ev_per_cell": -55.9, "sg": "No. 122", "relative_energy_mev_per_atom": 0, "lattice_angstrom": [[4.793, 0.000, 0.000], [0.000, 4.793, 0.000], [2.396, 2.396, 5.014]], "species": ["Te", "N", "Te", "Fe", "Fe", "N", "Fe", "Fe"], "frac_coords": [[0.750, 0.250, 0.500], [0.500, 0.500, 0.000], [0.000, 0.000, 0.000], [0.249, 0.625, 0.250], [0.375, 0.499, 0.750], [0.250, 0.750, 0.500], [0.501, 0.125, 0.250], [0.875, 0.751, 0.750]]}

***

# 18
{"formula": "FeTe2N", "functional": "PBE", "state": "relaxed", "dft_energy_ev_per_cell": -18.1, "sg": "No. 166", "lattice_angstrom": [[1.933, 0.000, 8.213], [-0.967, 1.674, 8.213], [-0.967, -1.674, 8.213]], "species": ["N", "Fe", "Te", "Te"], "frac_coords": [[0.500, 0.500, 0.500], [0.000, 0.000, 0.000], [0.898, 0.898, 0.898], [0.102, 0.102, 0.102]]}

***

# 19
{"formula": "Fe2TeN", "functional": "PBE", "state": "relaxed", "dft_energy_ev_per_cell": -24.3, "sg": "No. 225", "relative_energy_mev_per_atom": 909, "lattice_angstrom": [[-3.798, -1.733, -0.297], [-3.297, 1.868, 1.777], [-2.934, 1.785, -2.392]], "species": ["Fe", "Te", "Fe", "N"], "frac_coords": [[0.750, 0.750, 0.750], [0.500, 0.500, 0.500], [0.250, 0.250, 0.250], [0.000, 0.000, 0.000]]}

***

# 20
{"formula": "FeTeN2", "functional": "PBE", "state": "relaxed", "dft_energy_ev_per_cell": -25.8, "sg": "No. 166", "lattice_angstrom": [[-5.177, 1.923, 3.493], [-5.221, -1.111, 3.769], [-3.398, 0.555, 5.554]], "species": ["N", "N", "Fe", "Te"], "frac_coords": [[0.884, 0.884, 0.884], [0.116, 0.116, 0.116], [0.500, 0.500, 0.500], [0.000, 0.000, 0.000]]}

***

Volume (Å³ per cell)
250.41, 85.65, 44.75, 37.94, 82.62, 101.35, 42.89, 60.62, 87.49, 54.44, 107.14, 89.98, 79.09, 84.62, 58.66, 82.29, 115.19, 79.74, 51.84, 50.58
Density (g/cm3)
10.113, 7.052, 8.301, 7.959, 7.313, 7.330, 7.041, 9.195, 5.305, 8.527, 6.557, 7.807, 6.497, 6.073, 8.184, 6.559, 7.303, 6.769, 8.114, 6.942